A plane-wave DFT calculation with PBE was carried out for a relaxed PuTl3Bi2Se6 crystal.

Output
DOS(E_F): 12.9 states/eV/f.u.
Formation energy without anion corrections: -652 meV/atom
Space-group type: C2/m
Crystal system: monoclinic

Lattice parameters (Å, degrees): 7.451 7.451 8.043 98.87 98.87 119.99
Positions (direct):
1 Se 0.071 0.400 0.212
2 Bi 0.334 0.666 0.000
3 Se 0.742 0.742 0.212
4 Se 0.258 0.258 0.788
5 Tl 0.167 0.833 0.500
6 Se 0.600 0.929 0.788
7 Bi 0.666 0.334 0.000
8 Tl 0.833 0.167 0.500
9 Pu 0.000 0.000 0.000
10 Tl 0.500 0.500 0.500
11 Se 0.400 0.071 0.212
12 Se 0.929 0.600 0.788